i:
A geometry-optimized Tb4Pm4Dy structure, computed with GGA-PBE.

Summary:
Density in g/cm3: 7.72
Volume in Å³/cell: 296.5

a b c (Å): 5.0854 8.0478 8.0478
angles (deg): 84.27 71.58 71.58
Sites, in units of the cell vectors:
Tb (0.6660, 0.6681, 0.0000)
Tb (0.3340, 0.3319, 0.0000)
Pm (0.0000, 0.3315, 0.6685)
Dy (0.0000, 0.0000, 0.0000)
Pm (0.3315, 0.6685, 0.6685)
Tb (0.3341, 0.0000, 0.3319)
Pm (0.0000, 0.6685, 0.3315)
Tb (0.6659, 0.0000, 0.6681)
Pm (0.6685, 0.3315, 0.3315)



ii:
A geometry-optimized Tb4Pm4Dy structure, computed with GGA-PBE.

Summary:
Density in g/cm3: 7.64
Volume in Å³/cell: 299.4

a b c (Å): 5.6102 8.8784 9.0151
angles (deg): 45.14 71.87 71.58
Sites, in units of the cell vectors:
Pm (0.8671, 0.3039, 0.9618)
Dy (0.5000, 0.0000, 0.0000)
Tb (0.9263, 0.7677, 0.3797)
Tb (0.3709, 0.5719, 0.6863)
Pm (0.2819, 0.1478, 0.2884)
Tb (0.0737, 0.2323, 0.6203)
Pm (0.7181, 0.8522, 0.7116)
Tb (0.6291, 0.4281, 0.3137)
Pm (0.1329, 0.6961, 0.0382)



It is ii that is the least stable of them.



i:
A geometry-optimized Tb5Pm4Dy2 structure, computed with GGA-PBE.

Summary:
Density in g/cm3: 7.73
Volume in Å³/cell: 365.3

a b c (Å): 7.4466 6.6823 10.0557
angles (deg): 62.93 68.27 56.14
Sites, in units of the cell vectors:
Tb (0.2093, 0.3657, 0.7758)
Pm (0.6891, 0.1195, 0.5022)
Dy (0.8585, 0.1594, 0.1236)
Tb (0.3508, 0.6343, 0.2242)
Pm (0.3109, 0.8805, 0.4978)
Tb (0.0000, 0.5000, 0.5000)
Dy (0.1415, 0.8406, 0.8764)
Tb (0.7907, 0.6343, 0.2242)
Tb (0.6492, 0.3657, 0.7758)
Pm (0.6706, 0.7787, 0.8800)
Pm (0.3294, 0.2213, 0.1200)



ii:
A geometry-optimized Tb5Pm4Dy2 structure, computed with GGA-PBE.

Summary:
Density in g/cm3: 7.80
Volume in Å³/cell: 362.0

a b c (Å): 5.6717 6.6420 10.0196
angles (deg): 89.00 106.44 90.00
Sites, in units of the cell vectors:
Tb (0.8699, 0.8948, 0.7399)
Dy (0.4029, 0.5522, 0.8058)
Dy (0.5971, 0.4478, 0.1942)
Tb (0.2083, 0.5982, 0.4166)
Tb (0.5000, 0.0000, 0.0000)
Tb (0.7917, 0.4018, 0.5834)
Pm (0.9805, 0.2878, 0.9609)
Tb (0.1301, 0.1052, 0.2601)
Pm (0.3050, 0.0734, 0.6099)
Pm (0.0195, 0.7122, 0.0391)
Pm (0.6950, 0.9266, 0.3901)



It is i that is the least stable of them.



i:
A geometry-optimized Tb2Pm5Dy4 structure, computed with GGA-PBE.

Summary:
Density in g/cm3: 7.72
Volume in Å³/cell: 364.3

a b c (Å): 3.5500 11.6333 9.0191
angles (deg): 93.96 101.35 90.00
Sites, in units of the cell vectors:
Pm (0.0962, 0.5357, 0.1924)
Pm (0.5000, 0.0000, 0.0000)
Pm (0.9038, 0.4643, 0.8076)
Tb (0.2841, 0.6473, 0.5683)
Tb (0.7159, 0.3527, 0.4317)
Pm (0.1767, 0.0700, 0.3533)
Dy (0.0351, 0.2596, 0.0702)
Dy (0.9649, 0.7404, 0.9298)
Pm (0.8233, 0.9300, 0.6467)
Dy (0.3594, 0.2044, 0.7189)
Dy (0.6406, 0.7956, 0.2811)



ii:
A geometry-optimized Tb2Pm5Dy4 structure, computed with GGA-PBE.

Summary:
Density in g/cm3: 7.44
Volume in Å³/cell: 378.0

a b c (Å): 3.5225 9.1454 12.7151
angles (deg): 111.08 97.96 90.00
Sites, in units of the cell vectors:
Pm (0.5000, 0.0000, 0.0000)
Dy (0.4033, 0.4033, 0.8065)
Pm (0.1463, 0.9457, 0.2926)
Tb (0.2693, 0.2693, 0.5386)
Pm (0.1463, 0.3470, 0.2926)
Pm (0.8537, 0.0543, 0.7074)
Dy (0.5967, 0.5967, 0.1935)
Dy (0.0000, 0.3109, 0.0000)
Tb (0.7307, 0.7307, 0.4614)
Pm (0.8537, 0.6530, 0.7074)
Dy (0.0000, 0.6891, 0.0000)



It is ii that is the least stable of them.



i:
A geometry-optimized Tb2Pm3Dy2 structure, computed with GGA-PBE.

Summary:
Density in g/cm3: 7.79
Volume in Å³/cell: 229.8

a b c (Å): 3.5929 11.9176 6.2204
angles (deg): 69.80 73.20 98.71
Sites, in units of the cell vectors:
Dy (0.2876, 0.7155, 0.1399)
Tb (0.1441, 0.8582, 0.5705)
Pm (0.0000, 0.0000, 0.0000)
Pm (0.4289, 0.5718, 0.7133)
Dy (0.7124, 0.2845, 0.8601)
Pm (0.5711, 0.4282, 0.2867)
Tb (0.8559, 0.1418, 0.4295)



ii:
A geometry-optimized Tb2Pm3Dy2 structure, computed with GGA-PBE.

Summary:
Density in g/cm3: 7.69
Volume in Å³/cell: 232.6

a b c (Å): 3.5216 8.5944 8.9598
angles (deg): 118.34 101.33 90.00
Sites, in units of the cell vectors:
Pm (0.7873, 0.2001, 0.5747)
Pm (0.0000, 0.5000, 0.0000)
Tb (0.5647, 0.9096, 0.1293)
Dy (0.1456, 0.3256, 0.2913)
Pm (0.2127, 0.7999, 0.4253)
Tb (0.4353, 0.0904, 0.8707)
Dy (0.8544, 0.6744, 0.7087)



It is ii that is the least stable of them.



i:
A geometry-optimized Tb5Pm4Dy structure, computed with GGA-PBE.

Summary:
Density in g/cm3: 7.51
Volume in Å³/cell: 339.9

a b c (Å): 5.9987 8.1035 8.1035
angles (deg): 82.13 68.28 68.28
Sites, in units of the cell vectors:
Tb (0.7631, 0.0002, 0.3775)
Tb (0.7633, 0.3775, 0.9998)
Pm (0.4498, 0.3239, 0.6763)
Dy (0.2152, 0.0000, 0.0000)
Tb (0.1408, 0.9998, 0.6225)
Tb (0.6878, 0.0000, 0.0000)
Pm (0.7737, 0.6763, 0.6761)
Pm (0.1261, 0.3237, 0.3239)
Pm (0.4500, 0.6761, 0.3237)
Tb (0.1406, 0.6225, 0.0002)



ii:
A geometry-optimized Tb5Pm4Dy structure, computed with GGA-PBE.

Summary:
Density in g/cm3: 7.45
Volume in Å³/cell: 342.5

a b c (Å): 3.5471 11.1705 8.8250
angles (deg): 89.97 101.59 90.00
Sites, in units of the cell vectors:
Tb (0.8265, 0.0524, 0.6530)
Tb (0.1735, 0.9476, 0.3470)
Tb (0.8262, 0.4467, 0.6524)
Pm (0.6546, 0.2501, 0.3093)
Pm (0.0299, 0.7503, 0.0598)
Dy (0.5000, 0.0000, 0.0000)
Pm (0.9701, 0.2497, 0.9402)
Pm (0.3454, 0.7499, 0.6907)
Tb (0.5000, 0.5000, 0.0000)
Tb (0.1738, 0.5533, 0.3476)



It is i that is the least stable of them.



i:
A geometry-optimized Tb2Pm7Dy structure, computed with GGA-PBE.

Summary:
Density in g/cm3: 6.08
Volume in Å³/cell: 408.4

a b c (Å): 5.5637 9.4428 9.4428
angles (deg): 124.60 90.00 90.00
Sites, in units of the cell vectors:
Pm (0.5000, 0.5000, 0.5000)
Tb (0.5000, 0.7050, 0.2950)
Dy (0.0000, 0.0000, 0.0000)
Pm (0.5000, 0.7095, 0.9329)
Pm (0.0000, 0.7873, 0.2127)
Pm (0.0000, 0.2127, 0.7873)
Tb (0.5000, 0.2950, 0.7050)
Pm (0.5000, 0.2905, 0.0671)
Pm (0.5000, 0.9329, 0.7095)
Pm (0.5000, 0.0671, 0.2905)



ii:
A geometry-optimized Tb2Pm7Dy structure, computed with GGA-PBE.

Summary:
Density in g/cm3: 6.98
Volume in Å³/cell: 355.9

a b c (Å): 3.5197 10.3355 10.3343
angles (deg): 108.77 90.00 90.00
Sites, in units of the cell vectors:
Pm (0.0000, 0.6770, 0.3230)
Pm (0.5000, 0.6165, 0.8734)
Pm (0.5000, 0.5000, 0.5000)
Pm (0.0000, 0.3230, 0.6770)
Tb (0.5000, 0.8321, 0.1679)
Pm (0.5000, 0.3835, 0.1266)
Pm (0.5000, 0.1266, 0.3836)
Pm (0.5000, 0.8734, 0.6164)
Tb (0.5000, 0.1679, 0.8321)
Dy (0.0000, 0.0000, 0.0000)



It is i that is the least stable of them.



i:
A geometry-optimized Tb2Pm2Dy5 structure, computed with GGA-PBE.

Summary:
Density in g/cm3: 7.96
Volume in Å³/cell: 592.7

a b c (Å): 11.7904 6.7409 10.0860
angles (deg): 109.52 125.77 90.00
Sites, in units of the cell vectors:
Dy (0.2007, 0.6549, 0.8952)
Dy (0.8055, 0.2597, 0.1048)
Dy (0.1945, 0.1549, 0.8952)
Tb (0.0000, 0.0173, 0.0000)
Pm (0.3716, 0.9313, 0.7462)
Pm (0.8747, 0.4313, 0.7462)
Tb (0.7391, 0.8565, 0.5000)
Pm (0.6284, 0.1851, 0.2538)
Dy (0.9959, 0.1576, 0.5000)
Pm (0.1253, 0.6851, 0.2538)
Tb (0.2609, 0.3565, 0.5000)
Dy (0.4074, 0.5299, 0.2861)
Tb (0.5000, 0.5173, 0.0000)
Dy (0.0041, 0.6576, 0.5000)
Dy (0.5926, 0.2438, 0.7139)
Dy (0.3787, 0.0299, 0.2861)
Dy (0.7993, 0.7597, 0.1048)
Dy (0.6213, 0.7438, 0.7139)



ii:
A geometry-optimized Tb2Pm2Dy5 structure, computed with GGA-PBE.

Summary:
Density in g/cm3: 7.70
Volume in Å³/cell: 306.4

a b c (Å): 3.4953 8.2296 12.5485
angles (deg): 120.65 98.01 90.00
Sites, in units of the cell vectors:
Dy (0.0972, 0.4576, 0.1945)
Dy (0.0000, 0.0000, 0.0000)
Pm (0.1819, 0.2168, 0.3639)
Tb (0.4529, 0.2613, 0.9057)
Pm (0.8181, 0.7832, 0.6361)
Tb (0.5471, 0.7387, 0.0943)
Dy (0.6905, 0.8519, 0.3809)
Dy (0.3095, 0.1481, 0.6191)
Dy (0.9028, 0.5424, 0.8055)



It is ii that is the least stable of them.



i:
A geometry-optimized Tb2PmDy structure, computed with GGA-PBE.

Summary:
Density in g/cm3: 7.92
Volume in Å³/cell: 131.1

a b c (Å): 5.7016 5.7016 5.7016
angles (deg): 60.00 60.00 60.00
Sites, in units of the cell vectors:
Dy (0.0000, 0.0000, 0.0000)
Pm (0.5000, 0.5000, 0.5000)
Tb (0.7500, 0.7500, 0.7500)
Tb (0.2500, 0.2500, 0.2500)



ii:
A geometry-optimized Tb2PmDy structure, computed with GGA-PBE.

Summary:
Density in g/cm3: 7.90
Volume in Å³/cell: 525.8

a b c (Å): 5.7117 12.6150 7.2980
angles (deg): 90.00 90.00 90.00
Sites, in units of the cell vectors:
Dy (0.4433, 0.3337, 0.2499)
Tb (0.9432, 0.4171, 0.0007)
Tb (0.4433, 0.5829, 0.5012)
Tb (0.4432, 0.5829, 0.9993)
Tb (0.4432, 0.0829, 0.5007)
Pm (0.4432, 0.3334, 0.7499)
Dy (0.9433, 0.1663, 0.7499)
Tb (0.9432, 0.9171, 0.4993)
Pm (0.9432, 0.6666, 0.2501)
Dy (0.9433, 0.6663, 0.7501)
Pm (0.4432, 0.8334, 0.7501)
Dy (0.4433, 0.8337, 0.2501)
Tb (0.9433, 0.9171, 0.0012)
Pm (0.9432, 0.1666, 0.2499)
Tb (0.9433, 0.4171, 0.4988)
Tb (0.4433, 0.0829, 0.9988)



It is i that is the least stable of them.



i:
A geometry-optimized Tb2PmDy structure, computed with GGA-PBE.

Summary:
Density in g/cm3: 8.02
Volume in Å³/cell: 129.4

a b c (Å): 5.0616 5.0571 5.0571
angles (deg): 90.00 90.00 90.00
Sites, in units of the cell vectors:
Tb (0.0000, 0.0000, 0.5000)
Dy (0.5000, 0.5000, 0.5000)
Pm (0.5000, 0.0000, 0.0000)
Tb (0.0000, 0.5000, 0.0000)



ii:
A geometry-optimized Tb2PmDy structure, computed with GGA-PBE.

Summary:
Density in g/cm3: 7.96
Volume in Å³/cell: 130.4

a b c (Å): 3.6920 5.9233 6.9102
angles (deg): 115.38 105.49 90.00
Sites, in units of the cell vectors:
Dy (0.4950, 0.4950, 0.9900)
Tb (0.0052, 0.0052, 0.0104)
Tb (0.7514, 0.2514, 0.5027)
Pm (0.2485, 0.7485, 0.4969)



It is ii that is the least stable of them.



i:
A geometry-optimized Tb3Pm4Dy8 structure, computed with GGA-PBE.

Summary:
Density in g/cm3: 7.77
Volume in Å³/cell: 503.5

a b c (Å): 6.7684 9.2896 9.2896
angles (deg): 87.22 111.45 111.45
Sites, in units of the cell vectors:
Pm (0.0000, 0.0000, 0.5000)
Pm (0.0000, 0.0000, 0.0000)
Pm (0.0000, 0.5000, 0.0000)
Dy (0.0000, 0.6395, 0.3605)
Dy (0.5000, 0.2554, 0.7446)
Pm (0.5000, 0.0000, 0.0000)
Dy (0.5217, 0.2666, 0.2666)
Dy (0.9970, 0.7301, 0.7301)
Dy (0.5000, 0.7446, 0.2554)
Tb (0.5000, 0.5000, 0.5000)
Tb (0.5000, 0.5000, 0.0000)
Tb (0.5000, 0.0000, 0.5000)
Dy (0.4783, 0.7334, 0.7334)
Dy (0.0030, 0.2699, 0.2699)
Dy (0.0000, 0.3605, 0.6395)



ii:
A geometry-optimized Tb3Pm4Dy8 structure, computed with GGA-PBE.

Summary:
Density in g/cm3: 7.88
Volume in Å³/cell: 496.6

a b c (Å): 6.9630 6.9630 12.4911
angles (deg): 73.82 73.82 60.00
Sites, in units of the cell vectors:
Tb (0.0000, 0.5000, 0.5000)
Pm (0.3365, 0.3365, 0.9905)
Pm (0.0000, 0.0000, 0.0000)
Dy (0.7548, 0.7548, 0.7355)
Dy (0.2501, 0.2501, 0.7473)
Dy (0.2501, 0.7525, 0.7473)
Pm (0.6635, 0.6635, 0.0095)
Pm (0.5000, 0.5000, 0.5000)
Tb (0.0000, 0.0000, 0.5000)
Dy (0.7499, 0.7499, 0.2527)
Dy (0.2452, 0.2452, 0.2645)
Dy (0.7499, 0.2475, 0.2527)
Dy (0.7525, 0.2501, 0.7473)
Dy (0.2475, 0.7499, 0.2527)
Tb (0.5000, 0.0000, 0.5000)



It is i that is the least stable of them.